1.
K4Zr3MnP6O24 after structural relaxation, computed with GGA+U.

abc: 10.391 10.354 10.405
angles: 90.00 90.02 90.00
Space group P2_1 (No. 4)
Symmetry-distinct sites (fractional):
K  0.041  0.000  0.181 (multiplicity 2)
K  0.173  0.270  0.575 (multiplicity 2)
K  0.303  0.639  0.056 (multiplicity 2)
K  0.430  0.892  0.720 (multiplicity 2)
Zr  0.159  0.610  0.412 (multiplicity 2)
Zr  0.334  0.285  0.913 (multiplicity 2)
Zr  0.393  0.057  0.356 (multiplicity 2)
Mn  0.100  0.847  0.856 (multiplicity 2)
P  0.017  0.161  0.875 (multiplicity 2)
P  0.127  0.930  0.540 (multiplicity 2)
P  0.211  0.322  0.229 (multiplicity 2)
P  0.285  0.570  0.727 (multiplicity 2)
P  0.379  0.973  0.039 (multiplicity 2)
P  0.476  0.734  0.371 (multiplicity 2)
O  0.004  0.500  0.483 (multiplicity 2)
O  0.008  0.022  0.923 (multiplicity 2)
O  0.041  0.674  0.265 (multiplicity 2)
O  0.055  0.757  0.040 (multiplicity 2)
O  0.077  0.263  0.231 (multiplicity 2)
O  0.110  0.789  0.492 (multiplicity 2)
O  0.163  0.201  0.860 (multiplicity 2)
O  0.174  0.938  0.677 (multiplicity 2)
O  0.205  0.670  0.799 (multiplicity 2)
O  0.219  0.452  0.303 (multiplicity 2)
O  0.224  0.002  0.449 (multiplicity 2)
O  0.244  0.551  0.585 (multiplicity 2)
O  0.261  0.348  0.090 (multiplicity 2)
O  0.267  0.436  0.794 (multiplicity 2)
O  0.286  0.903  0.952 (multiplicity 2)
O  0.310  0.231  0.299 (multiplicity 2)
O  0.331  0.975  0.182 (multiplicity 2)
O  0.337  0.688  0.345 (multiplicity 2)
O  0.404  0.115  0.997 (multiplicity 2)
O  0.430  0.609  0.729 (multiplicity 2)
O  0.444  0.219  0.753 (multiplicity 2)
O  0.458  0.149  0.525 (multiplicity 2)
O  0.474  0.877  0.417 (multiplicity 2)
O  0.488  0.403  0.966 (multiplicity 2)

Output
Fermi-level density of states ... 0.000 states/eV/atom
Energy ... -7.56 eV per atom
Spin magnetization ... 10.00 μB per cell

2.
KPaMnO4 after structural relaxation, computed with GGA+U.

abc: 6.813 7.210 9.728
angles: 90.00 90.00 90.00
Space group Imma (No. 74)
Symmetry-distinct sites (fractional):
K  0.000  0.250  0.146 (multiplicity 4)
Pa  0.000  0.000  0.500 (multiplicity 4)
Mn  0.250  0.250  0.750 (multiplicity 4)
O  0.000  0.052  0.716 (multiplicity 8)
O  0.196  0.250  0.501 (multiplicity 8)

Output
Fermi-level density of states ... 0.000 states/eV/atom
Energy ... -8.01 eV per atom
Spin magnetization ... 20.00 μB per cell

3.
KPaMnO6 after structural relaxation, computed with GGA+U.

abc: 5.6148 5.6148 4.7378
angles: 90.00 90.00 120.00
Space group P312 (No. 149)
Symmetry-distinct sites (fractional):
K  0.0000  0.0000  0.0000 (multiplicity 1)
Pa  0.6667  0.3333  0.5000 (multiplicity 1)
Mn  0.3333  0.6667  0.0000 (multiplicity 1)
O  0.0224  0.4306  0.2360 (multiplicity 6)

Output
Fermi-level density of states ... 0.207 states/eV/atom
Energy ... -7.11 eV per atom
Spin magnetization ... 5.02 μB per cell

4.
K2PaMn3O12 after structural relaxation, computed with GGA+U.

abc: 7.0570 7.0570 18.7143
angles: 90.00 90.00 120.00
Space group R-3m (No. 166, hexagonal axes)
Symmetry-distinct sites (fractional):
K  0.0000  0.0000  0.1116 (multiplicity 6)
Pa  0.0000  0.0000  0.5000 (multiplicity 3)
Mn  0.0000  0.5000  0.0000 (multiplicity 9)
O  0.0507  0.5254  0.1004 (multiplicity 18)
O  0.0670  0.5335  0.3518 (multiplicity 18)

Output
Fermi-level density of states ... 0.559 states/eV/atom
Energy ... -6.63 eV per atom
Spin magnetization ... 11.93 μB per cell

5.
K3PaMn2O9 after structural relaxation, computed with GGA+U.

abc: 5.7064 5.7064 7.0374
angles: 90.00 90.00 120.00
Space group P-3m1 (No. 164)
Symmetry-distinct sites (fractional):
K  0.0000  0.0000  0.0000 (multiplicity 1)
K  0.3333  0.6667  0.6779 (multiplicity 2)
Pa  0.0000  0.0000  0.5000 (multiplicity 1)
Mn  0.3333  0.6667  0.1630 (multiplicity 2)
O  0.0000  0.5000  0.0000 (multiplicity 3)
O  0.1757  0.3513  0.3182 (multiplicity 6)

Output
Fermi-level density of states ... 0.279 states/eV/atom
Energy ... -6.62 eV per atom
Spin magnetization ... 8.06 μB per cell

6.
K3PaMn2O6 after structural relaxation, computed with GGA+U.

abc: 6.3139 6.3139 7.1234
angles: 90.00 90.00 120.00
Space group P-3m1 (No. 164)
Symmetry-distinct sites (fractional):
K  0.0000  0.0000  0.0000 (multiplicity 1)
K  0.3333  0.6667  0.6934 (multiplicity 2)
Pa  0.0000  0.0000  0.5000 (multiplicity 1)
Mn  0.3333  0.6667  0.2564 (multiplicity 2)
O  0.1582  0.3163  0.3100 (multiplicity 6)

Output
Energy ... -6.85 eV per atom
Spin magnetization ... 10.00 μB per cell

7.
KPaMn2O6 after structural relaxation, computed with GGA+U.

abc: 12.297 7.434 6.431
angles: 90.00 103.97 90.00
Space group C2/c (No. 15)
Symmetry-distinct sites (fractional):
K  0.000  0.112  0.250 (multiplicity 4)
Pa  0.000  0.381  0.750 (multiplicity 4)
Mn  0.250  0.133  0.796 (multiplicity 8)
O  0.086  0.403  0.107 (multiplicity 8)
O  0.097  0.178  0.659 (multiplicity 8)
O  0.242  0.101  0.132 (multiplicity 8)

Output
Energy ... -7.79 eV per atom
Spin magnetization ... 31.99 μB per cell

8.
K2PaMnO6 after structural relaxation, computed with GGA+U.

abc: 8.227 8.227 8.227
angles: 90.00 90.00 90.00
Space group Fm-3m (No. 225)
Symmetry-distinct sites (fractional):
K  0.250  0.250  0.250 (multiplicity 8)
Pa  0.000  0.000  0.000 (multiplicity 4)
Mn  0.000  0.000  0.500 (multiplicity 4)
O  0.000  0.000  0.263 (multiplicity 24)

Output
Fermi-level density of states ... 0.505 states/eV/atom
Energy ... -7.05 eV per atom
Spin magnetization ... 16.17 μB per cell

Question: What is the formula in the eighth record?
Answer: K2PaMnO6